VASP calculation (PBE-GGA) on a relaxed structure of TlCdTe2.

Results
E_tot ... -2.60 eV per atom
Fermi-level density of states ... 0.9 states/eV per cell
Space-group type ... P4/mmm

Unit cell a=4.431 b=4.431 c=6.261 alpha=90.00 beta=90.00 gamma=90.00
Atoms (fractional coordinates):
Tl1 0.000 0.000 0.375
Te1 0.000 0.000 0.875
Te2 0.500 0.500 0.375
Cd1 0.500 0.500 0.875

VASP calculation (PBE-GGA) on a relaxed structure of Tl5CdTe4.

Results
E_tot ... -2.78 eV per atom
Fermi-level density of states ... 5.9 states/eV per cell
Space-group type ... C2/m

Unit cell a=4.572 b=7.991 c=11.447 alpha=120.06 beta=101.52 gamma=90.00
Atoms (fractional coordinates):
Tl1 0.802 0.697 0.605
Tl2 0.820 0.240 0.639
Tl3 0.180 0.760 0.361
Tl4 0.500 0.500 0.000
Tl5 0.198 0.303 0.395
Cd1 0.500 0.000 0.000
Te1 0.359 0.031 0.719
Te2 0.946 0.714 0.892
Te3 0.641 0.969 0.281
Te4 0.054 0.286 0.108

VASP calculation (PBE-GGA) on a relaxed structure of Tl4CdTe.

Results
E_tot ... -2.17 eV per atom
Fermi-level density of states ... 3.7 states/eV per cell
Space-group type ... F-43m

Unit cell a=6.540 b=6.540 c=6.540 alpha=60.00 beta=60.00 gamma=60.00
Atoms (fractional coordinates):
Tl1 0.876 0.375 0.375
Tl2 0.375 0.375 0.876
Tl3 0.375 0.876 0.375
Tl4 0.375 0.375 0.375
Cd1 0.750 0.750 0.750
Te1 0.000 0.000 0.000

VASP calculation (PBE-GGA) on a relaxed structure of TlCdTe2.

Results
E_tot ... -2.30 eV per atom
Fermi-level density of states ... 3.4 states/eV per cell
Space-group type ... F-43m

Unit cell a=5.502 b=5.502 c=5.502 alpha=60.00 beta=60.00 gamma=60.00
Atoms (fractional coordinates):
Tl1 0.750 0.750 0.750
Te1 0.000 0.000 0.000
Te2 0.250 0.250 0.250
Cd1 0.500 0.500 0.500

VASP calculation (PBE-GGA) on a relaxed structure of TlCd2Te.

Results
Energy above the most stable polymorph in this dataset ... 97 meV per atom
E_tot ... -1.80 eV per atom
Fermi-level density of states ... 1.7 states/eV per cell
Space-group type ... Pmmm

Unit cell a=3.238 b=4.405 c=7.975 alpha=90.00 beta=90.00 gamma=90.00
Atoms (fractional coordinates):
Tl1 0.500 0.500 0.750
Te1 0.500 0.500 0.250
Cd1 0.000 0.000 0.004
Cd2 0.000 0.000 0.496

VASP calculation (PBE-GGA) on a relaxed structure of TlCdTe2.

Results
E_tot ... -2.64 eV per atom
Fermi-level density of states ... 5.3 states/eV per cell
Space-group type ... P2_1

Unit cell a=4.775 b=7.033 c=9.693 alpha=89.99 beta=89.90 gamma=89.98
Atoms (fractional coordinates):
Tl1 0.202 0.855 0.752
Tl2 0.699 0.355 0.464
Cd1 0.201 0.864 0.229
Cd2 0.701 0.364 0.987
Te1 0.701 0.634 0.212
Te2 0.703 0.579 0.736
Te3 0.199 0.080 0.480
Te4 0.202 0.134 0.004

VASP calculation (PBE-GGA) on a relaxed structure of Tl2Cd2Te.

Results
Energy above the most stable polymorph in this dataset ... 154 meV per atom
E_tot ... -1.85 eV per atom
Fermi-level density of states ... 2.3 states/eV per cell
Space-group type ... I4/mmm

Unit cell a=4.599 b=4.599 c=7.816 alpha=72.89 beta=72.89 gamma=90.00
Atoms (fractional coordinates):
Tl1 0.750 0.250 0.500
Tl2 0.250 0.750 0.500
Te1 0.000 0.000 0.000
Cd1 0.404 0.404 0.192
Cd2 0.596 0.596 0.808

VASP calculation (PBE-GGA) on a relaxed structure of TlCdTe4.

Results
E_tot ... -2.50 eV per atom
Fermi-level density of states ... 4.4 states/eV per cell
Space-group type ... F-43m

Unit cell a=6.513 b=6.513 c=6.513 alpha=60.00 beta=60.00 gamma=60.00
Atoms (fractional coordinates):
Tl1 0.750 0.750 0.750
Cd1 0.000 0.000 0.000
Te1 0.879 0.374 0.374
Te2 0.374 0.374 0.879
Te3 0.374 0.879 0.374
Te4 0.374 0.374 0.374

VASP calculation (PBE-GGA) on a relaxed structure of Tl14Cd2Te9.

Results
E_tot ... -2.82 eV per atom
Space-group type ... P-3

Unit cell a=9.658 b=9.658 c=12.335 alpha=90.00 beta=90.00 gamma=120.00
Atoms (fractional coordinates):
Tl1 0.011 0.670 0.899
Tl2 0.326 0.899 0.621
Tl3 0.101 0.426 0.621
Tl4 0.000 0.000 0.274
Tl5 0.000 0.000 0.726
Tl6 0.330 0.341 0.899
Tl7 0.659 0.989 0.899
Tl8 0.426 0.326 0.379
Tl9 0.574 0.674 0.621
Tl10 0.341 0.011 0.101
Tl11 0.670 0.659 0.101
Tl12 0.899 0.574 0.379
Tl13 0.674 0.101 0.379
Tl14 0.989 0.330 0.101
Cd1 0.333 0.667 0.273
Cd2 0.667 0.333 0.727
Te1 0.258 0.897 0.364
Te2 0.103 0.362 0.364
Te3 0.333 0.667 0.039
Te4 0.000 0.000 0.000
Te5 0.362 0.258 0.636
Te6 0.638 0.742 0.364
Te7 0.667 0.333 0.961
Te8 0.897 0.638 0.636
Te9 0.742 0.103 0.636

VASP calculation (PBE-GGA) on a relaxed structure of Tl12Cd3Te5.

Results
E_tot ... -2.38 eV per atom
Fermi-level density of states ... 39.6 states/eV per cell
Space-group type ... Ia-3d

Unit cell a=16.120 b=16.120 c=16.120 alpha=109.47 beta=109.47 gamma=109.47
Atoms (fractional coordinates):
Cd1 0.750 0.375 0.125
Cd2 0.875 0.750 0.125
Cd3 0.375 0.750 0.625
Cd4 0.250 0.125 0.375
Cd5 0.875 0.125 0.250
Cd6 0.375 0.625 0.250
Cd7 0.625 0.375 0.750
Cd8 0.125 0.875 0.750
Cd9 0.750 0.875 0.625
Cd10 0.625 0.250 0.375
Cd11 0.125 0.250 0.875
Cd12 0.250 0.625 0.875
Te1 0.125 0.375 0.250
Te2 0.000 0.500 0.000
Te3 0.000 0.000 0.000
Te4 0.375 0.250 0.125
Te5 0.500 0.000 0.500
Te6 0.500 0.500 0.000
Te7 0.125 0.750 0.375
Te8 0.750 0.125 0.875
Te9 0.750 0.625 0.375
Te10 0.375 0.125 0.750
Te11 0.625 0.875 0.250
Te12 0.500 0.500 0.500
Te13 0.500 0.000 0.000
Te14 0.000 0.000 0.500
Te15 0.250 0.375 0.625
Te16 0.250 0.875 0.125
Te17 0.000 0.500 0.500
Te18 0.875 0.250 0.625
Te19 0.625 0.750 0.875
Te20 0.875 0.625 0.750
Tl1 0.732 0.140 0.063
Tl2 0.331 0.563 0.423
Tl3 0.937 0.360 0.268
Tl4 0.563 0.232 0.140
Tl5 0.592 0.732 0.669
Tl6 0.937 0.577 0.169
Tl7 0.331 0.768 0.408
Tl8 0.077 0.908 0.140
Tl9 0.577 0.937 0.669
Tl10 0.732 0.592 0.169
Tl11 0.768 0.437 0.360
Tl12 0.831 0.923 0.063
Tl13 0.140 0.732 0.563
Tl14 0.360 0.423 0.092
Tl15 0.092 0.923 0.360
Tl16 0.408 0.140 0.577
Tl17 0.092 0.169 0.232
Tl18 0.437 0.669 0.077
Tl19 0.831 0.908 0.268
Tl20 0.140 0.408 0.077
Tl21 0.360 0.937 0.768
Tl22 0.577 0.640 0.408
Tl23 0.923 0.831 0.563
Tl24 0.768 0.331 0.908
Tl25 0.423 0.360 0.592
Tl26 0.077 0.169 0.437
Tl27 0.232 0.669 0.092
Tl28 0.169 0.092 0.732
Tl29 0.640 0.063 0.232
Tl30 0.860 0.592 0.923
Tl31 0.563 0.331 0.923
Tl32 0.592 0.860 0.423
Tl33 0.908 0.831 0.768
Tl34 0.908 0.077 0.640
Tl35 0.860 0.268 0.437
Tl36 0.169 0.077 0.937
Tl37 0.640 0.577 0.908
Tl38 0.423 0.063 0.331
Tl39 0.268 0.408 0.831
Tl40 0.232 0.563 0.640
Tl41 0.923 0.092 0.860
Tl42 0.669 0.232 0.592
Tl43 0.437 0.768 0.860
Tl44 0.063 0.423 0.831
Tl45 0.408 0.268 0.331
Tl46 0.063 0.640 0.732
Tl47 0.669 0.437 0.577
Tl48 0.268 0.860 0.937

VASP calculation (PBE-GGA) on a relaxed structure of TlCdTe2.

Results
E_tot ... -2.50 eV per atom
Fermi-level density of states ... 0.7 states/eV per cell
Space-group type ... Cm

Unit cell a=6.830 b=6.830 c=6.176 alpha=91.56 beta=91.56 gamma=27.02
Atoms (fractional coordinates):
Tl1 0.502 0.502 0.399
Te1 0.988 0.988 0.901
Te2 0.238 0.238 0.382
Cd1 0.772 0.772 0.818

VASP calculation (PBE-GGA) on a relaxed structure of TlCd2Te2.

Results
Energy above the most stable polymorph in this dataset ... 75 meV per atom
E_tot ... -2.20 eV per atom
Fermi-level density of states ... 3.6 states/eV per cell
Space-group type ... P4/mbm

Unit cell a=8.642 b=8.642 c=3.997 alpha=90.00 beta=90.00 gamma=90.00
Atoms (fractional coordinates):
Tl1 0.000 0.000 0.000
Tl2 0.500 0.500 0.000
Te1 0.341 0.841 0.000
Te2 0.841 0.659 0.000
Te3 0.659 0.159 0.000
Te4 0.159 0.341 0.000
Cd1 0.141 0.641 0.500
Cd2 0.641 0.859 0.500
Cd3 0.859 0.359 0.500
Cd4 0.359 0.141 0.500

Energy relative to the elements, uncorrected, record by record: -0.211 -0.244 0.086 0.093 0.030 -0.245 0.088 0.139 -0.289 -0.042 -0.109 -0.102 eV per atom